The following is a DFT calculation (GGA-PBE) of LiYPCl2 after structural relaxation.

Formation energy (no corrections) ... -976 meV per atom
Symmetry ... P4/mmm

Unit cell a=4.4081 b=4.4081 c=5.2992 alpha=90.00 beta=90.00 gamma=90.00
Last column: nearest neighbours and their distance in Å.
Fractional coordinates of all 5 atoms:
Li (0.0000, 0.0000, 0.0000)  4 Cl 2.20
Y (0.5000, 0.5000, 0.5000)  4 P 3.12, 8 Cl 3.45
P (0.0000, 0.0000, 0.5000)  2 Li 2.65
Cl (0.0000, 0.5000, 0.0000)  2 Li 2.20
Cl (0.5000, 0.0000, 0.0000)  2 Li 2.20